#i
Material: BaSr4Hg2
Method: DFT, PBE-GGA
State: relaxed

Output
As for the space group: I4/mmm. The value obtained for the spin magnetization is 0.000 μB/atom. Its volume is 48.104 Å³ per atom.

```
BaSr4Hg2
1.0
6.3959 0.0000 0.0000
0.0000 6.3959 0.0000
0.0000 0.0000 16.4630
Ba Sr Hg
2 8 4
direct
0.0000 0.0000 0.0000
0.5000 0.5000 0.5000
0.0000 0.0000 0.2214
0.0000 0.0000 0.7786
0.0000 0.5000 0.0000
0.0000 0.5000 0.5000
0.5000 0.0000 0.0000
0.5000 0.0000 0.5000
0.5000 0.5000 0.2786
0.5000 0.5000 0.7214
0.0000 0.0000 0.4108
0.0000 0.0000 0.5892
0.5000 0.5000 0.0892
0.5000 0.5000 0.9108
```

#ii
Material: BaSr4Hg2
Method: DFT, PBE-GGA
State: relaxed

Output
As for the space group: P2_1/m. The value obtained for the spin magnetization is 0.000 μB/atom. Its volume is 43.770 Å³ per atom.

```
BaSr4Hg2
1.0
9.1897 0.0000 0.0000
0.0000 7.4868 0.0000
-3.5609 0.0000 8.9066
Ba Sr Hg
2 8 4
direct
0.0061 0.2500 0.1511
0.9939 0.7500 0.8489
0.2375 0.5009 0.5818
0.2375 0.9991 0.5818
0.3416 0.7500 0.2602
0.3921 0.2500 0.0200
0.6079 0.7500 0.9800
0.6584 0.2500 0.7398
0.7625 0.0009 0.4182
0.7625 0.4991 0.4182
0.0222 0.2500 0.7375
0.4167 0.2500 0.3791
0.5833 0.7500 0.6209
0.9778 0.7500 0.2625
```

It is #ii that is the most stable of them.